TcTe2Pb: optimized geometry, PBE.

As for the energy: -5.0094 eV/atom.

The structure in POSCAR format:
```
TcTe2Pb
1.0
-1.650 1.669 9.648
1.650 -1.669 9.648
1.650 1.669 -9.648
Tc Te Pb
1 2 1
Direct
0.000 0.000 0.000
0.572 0.572 0.000
0.890 0.390 0.500
0.242 0.742 0.500
```